# 1
A plane-wave DFT calculation with PBE-GGA was carried out for a geometry-optimized LiMg2AuO4 structure.

a = 5.844 Å, b = 5.844 Å, c = 6.498 Å
α = 116.13°, β = 116.13°, γ = 90.95°
Fractional coordinates of all 16 atoms:
Li: 0.000 0.500 0.000
Li: 0.500 0.000 0.500
Mg: 0.000 0.000 0.000
Mg: 0.000 0.000 0.500
Mg: 0.000 0.500 0.500
Mg: 0.500 0.000 0.000
Au: 0.500 0.500 0.000
Au: 0.500 0.500 0.500
O: 0.209 0.214 0.411
O: 0.214 0.209 0.911
O: 0.227 0.714 0.945
O: 0.286 0.773 0.555
O: 0.714 0.227 0.445
O: 0.773 0.286 0.055
O: 0.786 0.791 0.089
O: 0.791 0.786 0.589

The volume comes out at 172.72 Å³/cell. The energy relative to the elements, uncorrected comes out at -1.73 eV/atom.

=====

# 2
A plane-wave DFT calculation with PBE-GGA was carried out for a geometry-optimized LiMgPAu structure.

a = 4.534 Å, b = 4.534 Å, c = 4.534 Å
α = 60.00°, β = 60.00°, γ = 60.00°
Fractional coordinates of all 4 atoms:
Li: 0.000 0.000 0.000
Mg: 0.500 0.500 0.500
P: 0.250 0.250 0.250
Au: 0.750 0.750 0.750

The volume comes out at 65.90 Å³/cell. The formation energy comes out at -0.395 eV per atom.

=====

# 3
A plane-wave DFT calculation with PBE-GGA was carried out for a geometry-optimized LiMgPaAu structure.

a = 4.898 Å, b = 4.898 Å, c = 4.898 Å
α = 60.00°, β = 60.00°, γ = 60.00°
Fractional coordinates of all 4 atoms:
Li: 0.000 0.000 0.000
Mg: 0.750 0.750 0.750
Pa: 0.250 0.250 0.250
Au: 0.500 0.500 0.500

The volume comes out at 83.09 Å³/cell. The formation energy comes out at -0.081 eV per atom.

=====

# 4
A plane-wave DFT calculation with PBE-GGA was carried out for a geometry-optimized Li2MgPbAu4 structure.

a = 8.431 Å, b = 8.431 Å, c = 8.431 Å
α = 31.81°, β = 31.81°, γ = 31.81°
Fractional coordinates of all 8 atoms:
Li: 0.247 0.247 0.247
Li: 0.753 0.753 0.753
Mg: 0.500 0.500 0.500
Pb: 0.000 0.000 0.000
Au: 0.132 0.132 0.132
Au: 0.388 0.388 0.388
Au: 0.612 0.612 0.612
Au: 0.868 0.868 0.868

The volume comes out at 147.91 Å³/cell. The formation energy comes out at -0.434 eV per atom.

=====

# 5
A plane-wave DFT calculation with PBE-GGA was carried out for a geometry-optimized Li2MgPd2Au4 structure.

a = 4.948 Å, b = 4.999 Å, c = 6.316 Å
α = 74.02°, β = 82.60°, γ = 81.47°
Fractional coordinates of all 9 atoms:
Li: 0.067 0.256 0.364
Li: 0.933 0.744 0.636
Mg: 0.500 0.500 0.500
Pd: 0.281 0.394 0.935
Pd: 0.719 0.606 0.065
Au: 0.162 0.805 0.182
Au: 0.383 0.950 0.718
Au: 0.617 0.050 0.282
Au: 0.838 0.195 0.818

The volume comes out at 147.90 Å³/cell. The formation energy comes out at -0.424 eV per atom.

=====

# 6
A plane-wave DFT calculation with PBE-GGA was carried out for a geometry-optimized Li2PmMgAu2 structure.

a = 4.547 Å, b = 4.547 Å, c = 6.676 Å
α = 90.00°, β = 90.00°, γ = 120.00°
Fractional coordinates of all 6 atoms:
Li: 0.333 0.667 0.181
Li: 0.667 0.333 0.819
Pm: 0.000 0.000 0.500
Mg: 0.000 0.000 0.000
Au: 0.333 0.667 0.775
Au: 0.667 0.333 0.225

The volume comes out at 119.51 Å³/cell. The formation energy comes out at -0.545 eV per atom.

=====

# 7
A plane-wave DFT calculation with PBE-GGA was carried out for a geometry-optimized LiPmMg2Au2 structure.

a = 8.305 Å, b = 8.305 Å, c = 8.305 Å
α = 149.65°, β = 149.65°, γ = 43.45°
Fractional coordinates of all 6 atoms:
Li: 0.000 0.000 0.000
Pm: 0.500 0.500 0.000
Mg: 0.250 0.750 0.500
Mg: 0.750 0.250 0.500
Au: 0.148 0.148 0.000
Au: 0.852 0.852 0.000

The volume comes out at 145.83 Å³/cell. The formation energy comes out at -0.158 eV per atom.

=====

# 8
A plane-wave DFT calculation with PBE-GGA was carried out for a geometry-optimized LiPm2MgAu4 structure.

a = 8.440 Å, b = 8.440 Å, c = 8.440 Å
α = 34.82°, β = 34.82°, γ = 34.82°
Fractional coordinates of all 8 atoms:
Li: 0.000 0.000 0.000
Pm: 0.251 0.251 0.251
Pm: 0.749 0.749 0.749
Mg: 0.500 0.500 0.500
Au: 0.121 0.121 0.121
Au: 0.380 0.380 0.380
Au: 0.620 0.620 0.620
Au: 0.879 0.879 0.879

The volume comes out at 174.93 Å³/cell. The formation energy comes out at -0.709 eV per atom.

=====

# 9
A plane-wave DFT calculation with PBE-GGA was carried out for a geometry-optimized Li2PrMgAu4 structure.

a = 9.033 Å, b = 9.033 Å, c = 9.033 Å
α = 29.45°, β = 29.45°, γ = 29.45°
Fractional coordinates of all 8 atoms:
Li: 0.237 0.237 0.237
Li: 0.763 0.763 0.763
Pr: 0.000 0.000 0.000
Mg: 0.500 0.500 0.500
Au: 0.126 0.126 0.126
Au: 0.396 0.396 0.396
Au: 0.604 0.604 0.604
Au: 0.874 0.874 0.874

The volume comes out at 157.67 Å³/cell. The formation energy comes out at -0.623 eV per atom.

=====

# 10
A plane-wave DFT calculation with PBE-GGA was carried out for a geometry-optimized LiPrMgAu structure.

a = 5.020 Å, b = 5.020 Å, c = 5.020 Å
α = 60.00°, β = 60.00°, γ = 60.00°
Fractional coordinates of all 4 atoms:
Li: 0.000 0.000 0.000
Pr: 0.250 0.250 0.250
Mg: 0.750 0.750 0.750
Au: 0.500 0.500 0.500

The volume comes out at 89.45 Å³/cell. The formation energy comes out at -0.431 eV per atom.

=====

# 11
A plane-wave DFT calculation with PBE-GGA was carried out for a geometry-optimized LiPrMg2Au4 structure.

a = 8.964 Å, b = 8.964 Å, c = 8.964 Å
α = 30.19°, β = 30.19°, γ = 30.19°
Fractional coordinates of all 8 atoms:
Li: 0.000 0.000 0.000
Pr: 0.500 0.500 0.500
Mg: 0.262 0.262 0.262
Mg: 0.738 0.738 0.738
Au: 0.103 0.103 0.103
Au: 0.373 0.373 0.373
Au: 0.627 0.627 0.627
Au: 0.897 0.897 0.897

The volume comes out at 161.37 Å³/cell. The formation energy comes out at -0.648 eV per atom.

=====

# 12
A plane-wave DFT calculation with PBE-GGA was carried out for a geometry-optimized Li2PrMgAu2 structure.

a = 4.567 Å, b = 4.567 Å, c = 6.762 Å
α = 90.00°, β = 90.00°, γ = 120.00°
Fractional coordinates of all 6 atoms:
Li: 0.333 0.667 0.177
Li: 0.667 0.333 0.823
Pr: 0.000 0.000 0.500
Mg: 0.000 0.000 0.000
Au: 0.333 0.667 0.779
Au: 0.667 0.333 0.221

The volume comes out at 122.13 Å³/cell. The formation energy comes out at -0.543 eV per atom.

=====

# 13
A plane-wave DFT calculation with PBE-GGA was carried out for a geometry-optimized Li2PrMgAu5 structure.

a = 4.804 Å, b = 4.804 Å, c = 7.487 Å
α = 90.00°, β = 90.00°, γ = 90.00°
Fractional coordinates of all 9 atoms:
Li: 0.000 0.000 0.155
Li: 0.000 0.000 0.845
Pr: 0.500 0.500 0.500
Mg: 0.500 0.500 0.000
Au: 0.000 0.000 0.500
Au: 0.000 0.500 0.219
Au: 0.000 0.500 0.781
Au: 0.500 0.000 0.219
Au: 0.500 0.000 0.781

The volume comes out at 172.76 Å³/cell. The formation energy comes out at -0.481 eV per atom.

=====

# 14
A plane-wave DFT calculation with PBE-GGA was carried out for a geometry-optimized LiPuMgAu structure.

a = 4.954 Å, b = 4.954 Å, c = 4.954 Å
α = 60.00°, β = 60.00°, γ = 60.00°
Fractional coordinates of all 4 atoms:
Li: 0.000 0.000 0.000
Pu: 0.750 0.750 0.750
Mg: 0.250 0.250 0.250
Au: 0.500 0.500 0.500

The volume comes out at 85.99 Å³/cell. The formation energy comes out at -0.188 eV per atom.

=====

# 15
A plane-wave DFT calculation with PBE-GGA was carried out for a geometry-optimized Li2PuMgAu2 structure.

a = 4.507 Å, b = 4.507 Å, c = 6.774 Å
α = 90.00°, β = 90.00°, γ = 120.00°
Fractional coordinates of all 6 atoms:
Li: 0.333 0.667 0.174
Li: 0.667 0.333 0.826
Pu: 0.000 0.000 0.500
Mg: 0.000 0.000 0.000
Au: 0.333 0.667 0.769
Au: 0.667 0.333 0.231

The volume comes out at 119.17 Å³/cell. The formation energy comes out at -0.375 eV per atom.

=====

# 16
A plane-wave DFT calculation with PBE-GGA was carried out for a geometry-optimized Li2PuMgAu4 structure.

a = 8.938 Å, b = 8.938 Å, c = 8.938 Å
α = 29.60°, β = 29.60°, γ = 29.60°
Fractional coordinates of all 8 atoms:
Li: 0.238 0.238 0.238
Li: 0.762 0.762 0.762
Pu: 0.000 0.000 0.000
Mg: 0.500 0.500 0.500
Au: 0.125 0.125 0.125
Au: 0.394 0.394 0.394
Au: 0.606 0.606 0.606
Au: 0.875 0.875 0.875

The volume comes out at 154.19 Å³/cell. The formation energy comes out at -0.493 eV per atom.

=====

# 17
A plane-wave DFT calculation with PBE-GGA was carried out for a geometry-optimized RbLi2MgAu structure.

a = 5.294 Å, b = 5.294 Å, c = 5.306 Å
α = 90.00°, β = 90.00°, γ = 90.00°
Fractional coordinates of all 5 atoms:
Rb: 0.000 0.000 0.000
Li: 0.000 0.500 0.500
Li: 0.500 0.000 0.500
Mg: 0.500 0.500 0.000
Au: 0.500 0.500 0.500

The volume comes out at 148.71 Å³/cell. The formation energy comes out at -0.137 eV per atom.

=====

# 18
A plane-wave DFT calculation with PBE-GGA was carried out for a geometry-optimized RbLiMg2Au structure.

a = 5.273 Å, b = 5.273 Å, c = 5.439 Å
α = 90.00°, β = 90.00°, γ = 90.00°
Fractional coordinates of all 5 atoms:
Rb: 0.000 0.000 0.000
Li: 0.500 0.500 0.000
Mg: 0.000 0.500 0.500
Mg: 0.500 0.000 0.500
Au: 0.500 0.500 0.500

The volume comes out at 151.23 Å³/cell. The formation energy comes out at -0.151 eV per atom.

=====

# 19
A plane-wave DFT calculation with PBE-GGA was carried out for a geometry-optimized LiMg2ReAu structure.

a = 4.427 Å, b = 4.427 Å, c = 4.256 Å
α = 90.00°, β = 90.00°, γ = 90.00°
Fractional coordinates of all 5 atoms:
Li: 0.000 0.000 0.000
Mg: 0.000 0.500 0.000
Mg: 0.500 0.000 0.000
Re: 0.500 0.500 0.500
Au: 0.000 0.000 0.500

The volume comes out at 83.40 Å³/cell. The formation energy comes out at 0.814 eV per atom.

=====

# 20
A plane-wave DFT calculation with PBE-GGA was carried out for a geometry-optimized Li2MgSbAu4 structure.

a = 8.259 Å, b = 8.259 Å, c = 8.259 Å
α = 32.45°, β = 32.45°, γ = 32.45°
Fractional coordinates of all 8 atoms:
Li: 0.249 0.249 0.249
Li: 0.751 0.751 0.751
Mg: 0.500 0.500 0.500
Sb: 0.000 0.000 0.000
Au: 0.131 0.131 0.131
Au: 0.383 0.383 0.383
Au: 0.617 0.617 0.617
Au: 0.869 0.869 0.869

The volume comes out at 144.20 Å³/cell. The energy relative to the elements, uncorrected comes out at -0.45 eV/atom.

=====

# 21
A plane-wave DFT calculation with PBE-GGA was carried out for a geometry-optimized LiMgSc2Au4 structure.

a = 8.114 Å, b = 8.114 Å, c = 8.114 Å
α = 33.72°, β = 33.72°, γ = 33.72°
Fractional coordinates of all 8 atoms:
Li: 0.000 0.000 0.000
Mg: 0.500 0.500 0.500
Sc: 0.251 0.251 0.251
Sc: 0.749 0.749 0.749
Au: 0.124 0.124 0.124
Au: 0.375 0.375 0.375
Au: 0.625 0.625 0.625
Au: 0.876 0.876 0.876

The volume comes out at 146.65 Å³/cell. The formation energy comes out at -0.718 eV per atom.

=====

# 22
A plane-wave DFT calculation with PBE-GGA was carried out for a geometry-optimized LiSmMg2Au4 structure.

a = 8.763 Å, b = 8.763 Å, c = 8.763 Å
α = 30.91°, β = 30.91°, γ = 30.91°
Fractional coordinates of all 8 atoms:
Li: 0.000 0.000 0.000
Sm: 0.500 0.500 0.500
Mg: 0.260 0.260 0.260
Mg: 0.740 0.740 0.740
Au: 0.106 0.106 0.106
Au: 0.374 0.374 0.374
Au: 0.626 0.626 0.626
Au: 0.894 0.894 0.894

The volume comes out at 157.52 Å³/cell. The formation energy comes out at -0.655 eV per atom.

=====

# 23
A plane-wave DFT calculation with PBE-GGA was carried out for a geometry-optimized Sr2Li12Mg3Au structure.

a = 11.433 Å, b = 11.433 Å, c = 11.433 Å
α = 35.09°, β = 35.09°, γ = 35.09°
Fractional coordinates of all 18 atoms:
Sr: 0.151 0.151 0.151
Sr: 0.849 0.849 0.849
Li: 0.080 0.080 0.687
Li: 0.080 0.687 0.080
Li: 0.156 0.571 0.571
Li: 0.313 0.920 0.920
Li: 0.429 0.429 0.844
Li: 0.429 0.844 0.429
Li: 0.571 0.156 0.571
Li: 0.571 0.571 0.156
Li: 0.687 0.080 0.080
Li: 0.844 0.429 0.429
Li: 0.920 0.313 0.920
Li: 0.920 0.920 0.313
Mg: 0.000 0.500 0.500
Mg: 0.500 0.000 0.500
Mg: 0.500 0.500 0.000
Au: 0.500 0.500 0.500

The volume comes out at 440.91 Å³/cell. The formation energy comes out at 0.057 eV per atom.

=====

# 24
A plane-wave DFT calculation with PBE-GGA was carried out for a geometry-optimized SrLi2MgAu structure.

a = 5.097 Å, b = 5.097 Å, c = 5.180 Å
α = 90.00°, β = 90.00°, γ = 90.00°
Fractional coordinates of all 5 atoms:
Sr: 0.000 0.000 0.000
Li: 0.000 0.500 0.500
Li: 0.500 0.000 0.500
Mg: 0.500 0.500 0.000
Au: 0.500 0.500 0.500

The volume comes out at 134.54 Å³/cell. The formation energy comes out at -0.238 eV per atom.

=====

# 25
A plane-wave DFT calculation with PBE-GGA was carried out for a geometry-optimized Sr2Li2MgAu structure.

a = 8.870 Å, b = 8.870 Å, c = 8.870 Å
α = 133.60°, β = 68.33°, γ = 132.82°
Fractional coordinates of all 12 atoms:
Sr: 0.160 0.222 0.382
Sr: 0.340 0.722 0.062
Sr: 0.660 0.278 0.938
Sr: 0.840 0.778 0.618
Li: 0.083 0.773 0.856
Li: 0.417 0.273 0.690
Li: 0.583 0.727 0.310
Li: 0.917 0.227 0.144
Mg: 0.250 0.750 0.500
Mg: 0.750 0.250 0.500
Au: 0.250 0.250 0.000
Au: 0.750 0.750 0.000

The volume comes out at 364.19 Å³/cell. The formation energy comes out at -0.233 eV per atom.